Density functional theory data (PBE) for an optimized crystal structure of LiTaZn2.

The polymorph energy (0 for the lowest one) is 356.4 meV per atom. The calculation puts the size of the total moment at 0.00 μB/f.u. The value obtained for the volume is 119.31 Å³/cell. The calculation puts the total energy at -3.790 eV per atom. The formation energy comes out at 0.289 eV/atom.

Cell: 2.9121 4.5015 9.1012 Å, 90.00 90.00 90.00°
Space group Immm (No. 71)
Asymmetric unit:
Li1 0.0000 0.0000 0.0000 [2 per cell]
Ta1 0.0000 0.0000 0.5000 [2 per cell]
Zn1 0.0000 0.5000 0.2696 [4 per cell]